(1)
Below is crystalline BaFeSb2 at its relaxed geometry, with properties calculated at the GGA-PBEsol level.

Cell: 4.2605 6.5537 8.2226 Å, 90.00 90.00 90.00°
Last column: nearest neighbours and their distance in Å.
Space group Immm (No. 71)
Inequivalent atoms, fractional coordinates:
Ba  0.0000  0.0000  0.0000 (multiplicity 2)  8 Sb 3.40-3.59
Fe  0.0000  0.0000  0.5000 (multiplicity 2)  4 Sb 2.59
Sb  0.0000  0.5000  0.1782 (multiplicity 4)  2 Fe 2.59

Properties
Raw formation energy in kJ per mole of atoms: -11

(2)
Below is crystalline Cu3PRu at its relaxed geometry, with properties calculated at the GGA-PBEsol level.

Cell: 4.1683 4.1683 4.1683 Å, 90.00 90.00 90.00°
Last column: nearest neighbours and their distance in Å.
Space group Pm-3m (No. 221)
Inequivalent atoms, fractional coordinates:
Cu  0.0000  0.0000  0.5000 (multiplicity 3)  2 P 2.08
P  0.0000  0.0000  0.0000 (multiplicity 1)  6 Cu 2.08
Ru  0.5000  0.5000  0.5000 (multiplicity 1)  12 Cu 2.95

Properties
ΔE_f in eV per atom: 0.750

(3)
Below is crystalline InCu3 at its relaxed geometry, with properties calculated at the GGA-PBEsol level.

Cell: 4.7981 4.7981 4.7981 Å, 90.00 90.00 90.00°
Last column: nearest neighbours and their distance in Å.
Space group Pm-3n (No. 223)
Inequivalent atoms, fractional coordinates:
In  0.0000  0.0000  0.0000 (multiplicity 2)  12 Cu 2.68
Cu  0.0000  0.2500  0.5000 (multiplicity 6)  2 Cu 2.40, 4 In 2.68

Properties
ΔE_f in eV per atom: 0.068